First-principles (GGA-PBE) data for a relaxed Rb2AsAuSe4 crystal, as listed in Alexandria.

The space group is Fddd (No. 70, origin choice 2) and the conventional cell measures 6.7778, 13.2621 and 24.9991 Å, with angles of 90.00, 90.00 and 90.00 degrees. Symmetry generates all atoms from Rb at (0.1250, 0.1250, 0.3070), As at (0.1250, 0.1250, 0.6250), Au at (0.1250, 0.1250, 0.1250) and Se at (0.0862, 0.2725, 0.8230).

For the uncorrected energy, the calculation gives -3.446 eV/atom.



First-principles (GGA-PBE) data for a relaxed Ce2Dy3Ru4 crystal, as listed in Alexandria.

The space group is C2/c (No. 15) and the conventional cell measures 14.8271, 9.1677 and 5.8886 Å, with angles of 90.00, 96.53 and 90.00 degrees. Symmetry generates all atoms from Ce at (0.2033, 0.1092, 0.0745), Dy at (0.0000, 0.0702, 0.2500), Dy at (0.0993, 0.3990, 0.4187), Ru at (0.0662, 0.2734, 0.9109) and Ru at (0.1875, 0.1460, 0.5839).

Its energy above the most stable polymorph in this dataset is 42 meV per atom.



First-principles (GGA-PBE) data for a relaxed BaSr2Zn crystal, as listed in Alexandria.

The space group is R3m (No. 160, hexagonal axes) and the conventional cell measures 4.4158, 4.4158 and 34.2056 Å, with angles of 90.00, 90.00 and 120.00 degrees. Symmetry generates all atoms from Ba at (0.0000, 0.0000, 0.0000), Sr at (0.0000, 0.0000, 0.5592), Sr at (0.0000, 0.0000, 0.7739) and Zn at (0.0000, 0.0000, 0.1665).

For the uncorrected energy, the calculation gives -1.657 eV/atom.



First-principles (GGA-PBE) data for a relaxed YNi2Se crystal, as listed in Alexandria.

The space group is Pmmm (No. 47) and the conventional cell measures 3.7346, 3.9882 and 4.8754 Å, with angles of 90.00, 90.00 and 90.00 degrees. Symmetry generates all atoms from Y at (0.0000, 0.0000, 0.0000), Ni at (0.5000, 0.5000, 0.2429) and Se at (0.5000, 0.0000, 0.5000).

For the uncorrected energy, the calculation gives -5.988 eV/atom.